{"formula": "ZrHIr3", "functional": "PBE", "state": "relaxed", "dft_energy_ev_per_cell": -82.288, "mass_density_kg_m3": 16941, "e_above_lowest_polymorph_mev_per_atom": 11, "magmom_total_mub_per_cell": 0.00, "spacegroup": "P1 (1)", "cell": [[5.676, 0.003, 0.005], [-2.903, 4.951, 0.001], [-2.938, -1.724, 4.661]], "species": ["Zr", "Ir", "Ir", "H", "Ir", "Zr", "Ir", "Ir", "H", "Ir"], "frac_coords": [[0.443, 0.441, 0.827], [0.443, 0.945, 0.808], [0.944, 0.442, 0.303], [0.439, 0.219, 0.524], [0.944, 0.942, 0.306], [0.443, 0.941, 0.281], [0.941, 0.440, 0.804], [0.443, 0.445, 0.300], [0.437, 0.718, 0.579], [0.941, 0.940, 0.802]]}